DFT (PBE with a Hubbard U) results for CrPt2O6 after structural relaxation.

Cell lengths 5.1636, 5.1636, 4.2717 Å; angles 90.00, 90.00, 120.00 degrees
Space group P-31m (No. 162)
Asymmetric unit:
Cr 0.0000 0.0000 0.0000
Pt 0.3333 0.6667 0.5000
O 0.0000 0.3408 0.7525

Total energy in Ry/atom: -0.4596
Total moment in μB/cell: 1.9